Entry 1:
The following is a DFT calculation (meta-GGA SCAN) of ZnCu2Ru at its PBEsol-relaxed geometry.

Values from the calculation:
total magnetic moment = 0.000 μB/atom
space-group type = I-4m2 (119)
energy of formation from the pure elements = 0.1397 eV/atom

Lattice parameters (Å, degrees): 3.713 3.713 4.446 114.68 114.68 90.00
Atoms (fractional coordinates):
1 Cu 0.000 0.000 0.000
2 Cu 0.750 0.250 0.500
3 Ru 0.500 0.500 0.000
4 Zn 0.250 0.750 0.500

Entry 2:
The following is a DFT calculation (meta-GGA SCAN) of ZnCuRu at its PBEsol-relaxed geometry.

Values from the calculation:
total magnetic moment = 0.237 μB/atom
space-group type = Fmm2 (42)
energy of formation from the pure elements = 0.1588 eV/atom

Lattice parameters (Å, degrees): 2.575 2.575 6.534 96.68 96.68 114.18
Site moments in Bohr magnetons follow the coordinates.
Atoms (fractional coordinates):
1 Cu 0.997 0.997 0.995  0.02
2 Ru 0.666 0.666 0.332  0.73
3 Zn 0.337 0.337 0.673  -0.01